PBE-GGA AcEr4Tm4, relaxed; M_tot = 0.000 μB per atom; space group = C2/m, No. 12; DOS(E_F) = 12.0 states/eV/f.u.; raw total energy = -78.21 eV for the cell shown; formation energy = 0.127 eV/atom; calculated density = 9053 kg/m3
1.0
3.1684 -8.5531 0.0000
3.1684 8.5531 0.0000
-1.9347 0.0000 10.6382
Ac Er Tm
2 8 8
direct
0.2243 0.2243 0.2747
0.7757 0.7757 0.7253
0.1820 0.8180 0.0000
0.3471 0.6372 0.8397
0.3569 0.6431 0.5000
0.3628 0.6529 0.1603
0.6372 0.3471 0.8397
0.6431 0.3569 0.5000
0.6529 0.3628 0.1603
0.8180 0.1820 0.0000
0.1688 0.7914 0.3364
0.2086 0.8312 0.6636
0.2239 0.2239 0.6150
0.2323 0.2323 0.9454
0.7677 0.7677 0.0546
0.7761 0.7761 0.3850
0.7914 0.1688 0.3364
0.8312 0.2086 0.6636

=====

PBE-GGA AcEr7Tm12, relaxed; M_tot = 0.000 μB per atom; space group = R-3, No. 148; DOS(E_F) = 37.9 states/eV/f.u.; raw total energy = -84.87 eV for the cell shown; formation energy = 0.242 eV/atom; calculated density = 8868 kg/m3
1.0
5.9681 3.4457 5.1979
-5.9681 3.4457 5.1979
0.0000 -6.8913 5.1979
Ac Er Tm
1 7 12
direct
0.0000 0.0000 0.0000
0.0600 0.3926 0.1566
0.1566 0.0600 0.3926
0.3926 0.1566 0.0600
0.5000 0.5000 0.5000
0.6074 0.8434 0.9400
0.8434 0.9400 0.6074
0.9400 0.6074 0.8434
0.1355 0.6219 0.4970
0.1485 0.2740 0.7224
0.2740 0.7224 0.1485
0.2776 0.8515 0.7260
0.3781 0.5030 0.8645
0.4970 0.1355 0.6219
0.5030 0.8645 0.3781
0.6219 0.4970 0.1355
0.7224 0.1485 0.2740
0.7260 0.2776 0.8515
0.8515 0.7260 0.2776
0.8645 0.3781 0.5030

=====

PBE-GGA AcEr4Tm15, relaxed; M_tot = 0.000 μB per atom; space group = P4/mmm, No. 123; DOS(E_F) = 41.1 states/eV/f.u.; raw total energy = -86.81 eV for the cell shown; formation energy = 0.131 eV/atom; calculated density = 9134 kg/m3
1.0
5.7518 0.0000 0.0000
0.0000 5.7518 0.0000
0.0000 0.0000 18.8490
Ac Er Tm
1 4 15
direct
0.0000 0.0000 0.0000
0.0000 0.0000 0.2095
0.0000 0.0000 0.4033
0.0000 0.0000 0.5967
0.0000 0.0000 0.7905
0.0000 0.5000 0.1116
0.0000 0.5000 0.3047
0.0000 0.5000 0.5000
0.0000 0.5000 0.6953
0.0000 0.5000 0.8884
0.5000 0.0000 0.1116
0.5000 0.0000 0.3047
0.5000 0.0000 0.5000
0.5000 0.0000 0.6953
0.5000 0.0000 0.8884
0.5000 0.5000 0.0000
0.5000 0.5000 0.2050
0.5000 0.5000 0.4022
0.5000 0.5000 0.5978
0.5000 0.5000 0.7950

=====

PBE-GGA AcErTm, relaxed; M_tot = 0.000 μB per atom; space group = P4/mmm, No. 123; DOS(E_F) = 4.8 states/eV/f.u.; raw total energy = -10.40 eV for the cell shown; formation energy = 0.914 eV/atom; calculated density = 7323 kg/m3
1.0
4.6039 0.0000 0.0000
0.0000 4.6039 0.0000
0.0000 0.0000 6.0256
Ac Er Tm
1 1 1
direct
0.0000 0.0000 0.0000
0.5000 0.5000 0.5000
0.5000 0.5000 0.0000

=====

PBE-GGA AcEr2Tm, relaxed; M_tot = 0.000 μB per atom; space group = Imm2, No. 44; DOS(E_F) = 5.8 states/eV/f.u.; raw total energy = -17.47 eV for the cell shown; formation energy = 0.058 eV/atom; calculated density = 8964 kg/m3
1.0
-1.8664 5.7695 3.1417
1.8664 -5.7695 3.1417
1.8664 5.7695 -3.1417
Ac Er Tm
1 2 1
direct
0.0000 0.0000 0.0000
0.1095 0.3528 0.7567
0.5960 0.3528 0.2433
0.5086 0.0086 0.5000

=====

PBE-GGA AcErTm, relaxed; M_tot = 0.000 μB per atom; space group = I4mm, No. 107; DOS(E_F) = 4.2 states/eV/f.u.; raw total energy = -12.92 eV for the cell shown; formation energy = 0.075 eV/atom; calculated density = 8952 kg/m3
1.0
-1.8507 1.8507 7.6257
1.8507 -1.8507 7.6257
1.8507 1.8507 -7.6257
Ac Er Tm
1 1 1
direct
0.0000 0.0000 0.0000
0.6740 0.6740 0.0000
0.3267 0.3267 0.0000

=====

PBE-GGA AcEr4Tm7, relaxed; M_tot = 0.000 μB per atom; space group = Pmmn, No. 59; DOS(E_F) = 18.8 states/eV/f.u.; raw total energy = -106.83 eV for the cell shown; formation energy = 0.020 eV/atom; calculated density = 9122 kg/m3
1.0
5.6201 0.0000 0.0000
0.0000 21.6622 0.0000
0.0000 0.0000 6.2161
Ac Er Tm
2 8 14
direct
0.2500 0.2500 0.1704
0.7500 0.7500 0.8296
0.2500 0.0809 0.1686
0.2500 0.4191 0.1686
0.2500 0.5822 0.1674
0.2500 0.9178 0.1674
0.7500 0.0822 0.8326
0.7500 0.4178 0.8326
0.7500 0.5809 0.8314
0.7500 0.9191 0.8314
0.2500 0.0000 0.6665
0.2500 0.1634 0.6678
0.2500 0.3366 0.6678
0.2500 0.5000 0.6665
0.2500 0.6632 0.6638
0.2500 0.7500 0.1760
0.2500 0.8368 0.6638
0.7500 0.0000 0.3335
0.7500 0.1632 0.3362
0.7500 0.2500 0.8240
0.7500 0.3368 0.3362
0.7500 0.5000 0.3335
0.7500 0.6634 0.3322
0.7500 0.8366 0.3322

=====

PBE-GGA AcY6Er2Tm, relaxed; M_tot = 0.001 μB per atom; space group = C2/c, No. 15; DOS(E_F) = 15.9 states/eV/f.u.; raw total energy = -110.41 eV for the cell shown; formation energy = 0.129 eV/atom; calculated density = 6282 kg/m3
1.0
4.6492 -7.6029 0.0000
4.6492 7.6029 0.0000
-0.7835 0.0000 9.4520
Ac Y Er Tm
2 12 4 2
direct
0.0315 0.9685 0.7500
0.9685 0.0315 0.2500
0.0069 0.5527 0.6820
0.1276 0.7565 0.0572
0.2434 0.8724 0.4428
0.2876 0.5128 0.8880
0.4473 0.9931 0.8180
0.4872 0.7124 0.6120
0.5128 0.2876 0.3880
0.5527 0.0069 0.1820
0.7124 0.4872 0.1120
0.7565 0.1276 0.5572
0.8724 0.2434 0.9428
0.9931 0.4473 0.3180
0.2047 0.3163 0.5523
0.3163 0.2047 0.0523
0.6837 0.7953 0.9477
0.7953 0.6837 0.4477
0.4140 0.5860 0.2500
0.5860 0.4140 0.7500

=====

PBE-GGA AcY6ErTm2, relaxed; M_tot = 0.000 μB per atom; space group = C2/c, No. 15; DOS(E_F) = 15.8 states/eV/f.u.; raw total energy = -110.22 eV for the cell shown; formation energy = 0.129 eV/atom; calculated density = 6297 kg/m3
1.0
4.6561 -7.5890 0.0000
4.6561 7.5890 0.0000
-0.7616 0.0000 9.4440
Ac Y Er Tm
2 12 2 4
direct
0.0327 0.9673 0.7500
0.9673 0.0327 0.2500
0.0064 0.5511 0.6810
0.1256 0.7572 0.0571
0.2428 0.8744 0.4429
0.2881 0.5145 0.8884
0.4489 0.9936 0.8190
0.4855 0.7119 0.6116
0.5145 0.2881 0.3884
0.5511 0.0064 0.1810
0.7119 0.4855 0.1116
0.7572 0.1256 0.5571
0.8744 0.2428 0.9429
0.9936 0.4489 0.3190
0.4141 0.5859 0.2500
0.5859 0.4141 0.7500
0.2046 0.3158 0.5526
0.3158 0.2046 0.0526
0.6842 0.7954 0.9474
0.7954 0.6842 0.4474

=====

PBE-GGA AcY3ErTm, relaxed; M_tot = 0.000 μB per atom; space group = C2/m, No. 12; DOS(E_F) = 10.7 states/eV/f.u.; raw total energy = -62.35 eV for the cell shown; formation energy = 0.227 eV/atom; calculated density = 6408 kg/m3
1.0
11.5306 -2.6824 0.0000
11.5306 2.6824 0.0000
-0.9972 0.0000 6.9532
Ac Y Er Tm
2 6 2 2
direct
0.1265 0.1265 0.4819
0.8735 0.8735 0.5181
0.0220 0.0220 0.7844
0.2748 0.2748 0.6898
0.3203 0.3203 0.2133
0.6797 0.6797 0.7867
0.7252 0.7252 0.3102
0.9780 0.9780 0.2156
0.1670 0.1670 0.0259
0.8330 0.8330 0.9741
0.4253 0.4253 0.8903
0.5747 0.5747 0.1097

=====

PBE-GGA Ac2ErV, relaxed; M_tot = 0.880 μB per atom; space group = R-3m, No. 166; DOS(E_F) = 5.4 states/eV/f.u.; raw total energy = -18.86 eV for the cell shown; formation energy = 0.760 eV/atom; calculated density = 7917 kg/m3
1.0
1.8342 1.0590 12.0970
-1.8342 1.0590 12.0970
0.0000 -2.1180 12.0970
Ac Er V
2 1 1
direct
0.0832 0.0832 0.0832
0.9168 0.9168 0.9168
0.5000 0.5000 0.5000
0.0000 0.0000 0.0000

=====

PBE-GGA AcYEr, relaxed; M_tot = 0.000 μB per atom; space group = I4mm, No. 107; DOS(E_F) = 4.2 states/eV/f.u.; raw total energy = -14.94 eV for the cell shown; formation energy = 0.064 eV/atom; calculated density = 7505 kg/m3
1.0
-1.8633 1.8633 7.6980
1.8633 -1.8633 7.6980
1.8633 1.8633 -7.6980
Ac Y Er
1 1 1
direct
0.0000 0.0000 0.0000
0.3255 0.3255 0.0000
0.6713 0.6713 0.0000

=====

PBE-GGA Ac2Y5Er6, relaxed; M_tot = 0.000 μB per atom; space group = Pbam, No. 55; DOS(E_F) = 19.5 states/eV/f.u.; raw total energy = -132.63 eV for the cell shown; formation energy = 0.123 eV/atom; calculated density = 7181 kg/m3
1.0
11.8761 0.0000 0.0000
0.0000 20.3551 0.0000
0.0000 0.0000 3.6391
Ac Y Er
4 10 12
direct
0.1620 0.2229 0.0000
0.3380 0.7229 0.0000
0.6620 0.2771 0.0000
0.8380 0.7771 0.0000
0.0000 0.5000 0.5000
0.0987 0.7840 0.5000
0.1998 0.0535 0.5000
0.3002 0.5535 0.5000
0.4013 0.2840 0.5000
0.5000 0.0000 0.5000
0.5987 0.7160 0.5000
0.6998 0.4465 0.5000
0.8002 0.9465 0.5000
0.9013 0.2160 0.5000
0.0614 0.9264 0.0000
0.0733 0.6388 0.0000
0.1821 0.3819 0.5000
0.3179 0.8819 0.5000
0.4267 0.1388 0.0000
0.4386 0.4264 0.0000
0.5614 0.5736 0.0000
0.5733 0.8612 0.0000
0.6821 0.1181 0.5000
0.8179 0.6181 0.5000
0.9267 0.3612 0.0000
0.9386 0.0736 0.0000

=====

PBE-GGA Ac4YEr, relaxed; M_tot = 0.000 μB per atom; space group = Pmmm, No. 47; DOS(E_F) = 11.8 states/eV/f.u.; raw total energy = -26.46 eV for the cell shown; formation energy = 0.167 eV/atom; calculated density = 7906 kg/m3
1.0
3.7260 0.0000 0.0000
0.0000 5.8442 0.0000
0.0000 0.0000 11.2289
Ac Y Er
4 1 1
direct
0.0000 0.0000 0.1567
0.0000 0.0000 0.8433
0.0000 0.5000 0.3418
0.0000 0.5000 0.6582
0.5000 0.0000 0.5000
0.5000 0.5000 0.0000

=====

PBE-GGA AcY6Er12, relaxed; M_tot = 0.000 μB per atom; space group = R-3m, No. 166; DOS(E_F) = 24.1 states/eV/f.u.; raw total energy = -89.40 eV for the cell shown; formation energy = 0.434 eV/atom; calculated density = 7023 kg/m3
1.0
7.5178 4.3404 3.3422
-7.5178 4.3404 3.3422
0.0000 -8.6808 3.3422
Ac Y Er
1 6 12
direct
0.0000 0.0000 0.0000
0.2542 0.6864 0.6864
0.3136 0.3136 0.7458
0.3136 0.7458 0.3136
0.6864 0.2542 0.6864
0.6864 0.6864 0.2542
0.7458 0.3136 0.3136
0.1090 0.5000 0.8910
0.1090 0.8910 0.5000
0.1648 0.3791 0.3791
0.3791 0.1648 0.3791
0.3791 0.3791 0.1648
0.5000 0.1090 0.8910
0.5000 0.8910 0.1090
0.6209 0.6209 0.8352
0.6209 0.8352 0.6209
0.8352 0.6209 0.6209
0.8910 0.1090 0.5000
0.8910 0.5000 0.1090

=====

PBE-GGA AcY7Er12, relaxed; M_tot = 0.000 μB per atom; space group = R-3, No. 148; DOS(E_F) = 39.4 states/eV/f.u.; raw total energy = -99.54 eV for the cell shown; formation energy = 0.229 eV/atom; calculated density = 7194 kg/m3
1.0
6.0317 3.4824 5.2320
-6.0317 3.4824 5.2320
0.0000 -6.9648 5.2320
Ac Y Er
1 7 12
direct
0.0000 0.0000 0.0000
0.0612 0.3932 0.1569
0.1569 0.0612 0.3932
0.3932 0.1569 0.0612
0.5000 0.5000 0.5000
0.6068 0.8431 0.9388
0.8431 0.9388 0.6068
0.9388 0.6068 0.8431
0.1359 0.6211 0.4960
0.1480 0.2744 0.7241
0.2744 0.7241 0.1480
0.2759 0.8520 0.7256
0.3789 0.5040 0.8641
0.4960 0.1359 0.6211
0.5040 0.8641 0.3789
0.6211 0.4960 0.1359
0.7241 0.1480 0.2745
0.7256 0.2759 0.8520
0.8520 0.7256 0.2759
0.8641 0.3789 0.5040

=====

PBE-GGA Ac2YEr, relaxed; M_tot = 0.000 μB per atom; space group = R3m, No. 160; DOS(E_F) = 6.3 states/eV/f.u.; raw total energy = -18.94 eV for the cell shown; formation energy = 0.076 eV/atom; calculated density = 7827 kg/m3
1.0
1.8992 1.0965 12.0578
-1.8992 1.0965 12.0578
0.0000 -2.1930 12.0578
Ac Y Er
2 1 1
direct
0.0000 0.0000 0.0000
0.1677 0.1677 0.1677
0.4163 0.4163 0.4163
0.5849 0.5849 0.5849

=====

PBE-GGA Ac2YEr, relaxed; M_tot = 0.000 μB per atom; space group = P4/mmm, No. 123; DOS(E_F) = 5.5 states/eV/f.u.; raw total energy = -19.05 eV for the cell shown; formation energy = 0.049 eV/atom; calculated density = 7842 kg/m3
1.0
3.9024 0.0000 0.0000
0.0000 3.9024 0.0000
0.0000 0.0000 9.8742
Ac Y Er
2 1 1
direct
0.0000 0.0000 0.2474
0.0000 0.0000 0.7526
0.5000 0.5000 0.5000
0.5000 0.5000 0.0000

=====

PBE-GGA AcYEr, relaxed; M_tot = 0.000 μB per atom; space group = P2_1/c, No. 14; DOS(E_F) = 4.0 states/eV/f.u.; raw total energy = -59.69 eV for the cell shown; formation energy = 0.071 eV/atom; calculated density = 7536 kg/m3
1.0
6.4952 0.0000 0.0000
0.0000 12.0053 0.0000
-2.9316 0.0000 5.4613
Ac Y Er
4 4 4
direct
0.1692 0.1331 0.1563
0.1692 0.3669 0.6563
0.8308 0.6331 0.3437
0.8308 0.8669 0.8437
0.1866 0.6154 0.0154
0.1866 0.8846 0.5154
0.8134 0.1154 0.4846
0.8134 0.3846 0.9846
0.4834 0.6168 0.6612
0.4834 0.8832 0.1612
0.5166 0.1168 0.8388
0.5166 0.3832 0.3388